# 1
{
  "formula": "LaPrAg4",
  "functional": "GGA-PBE",
  "state": "optimized geometry",
  "lattice_angstrom": [[4.043, 4.206, 1.271], [-4.095, 2.587, 3.491], [2.786, -5.271, 0.323]],
  "species": ["Ag", "Ag", "Ag", "Ag", "La", "Pr"],
  "frac_coords": [[0.046, 0.835, 0.212], [0.453, 0.165, 0.288], [0.878, 0.165, 0.712], [0.623, 0.835, 0.788], [0.466, 0.466, 0.000], [0.034, 0.534, 0.500]],
  "volume_a3_per_atom": 23.76,
  "delta_e_f_ev_per_atom": -0.29
}



# 2
{
  "formula": "PuAgB",
  "functional": "GGA-PBE",
  "state": "optimized geometry",
  "lattice_angstrom": [[-0.514, 0.557, 4.157], [-0.618, 3.882, 1.551], [-3.785, 1.084, 1.535]],
  "species": ["Ag", "B", "Pu"],
  "frac_coords": [[0.250, 0.250, 0.250], [0.000, 0.000, 0.000], [0.750, 0.750, 0.750]],
  "volume_a3_per_atom": 17.78,
  "polymorph_energy_ev_per_atom": 0.000
}



# 3
{
  "formula": "ErTm2Mg3Al2Hg",
  "functional": "GGA-PBE",
  "state": "optimized geometry",
  "lattice_angstrom": [[4.493, 0.000, 0.000], [0.000, 6.360, 3.662], [0.000, -6.360, 3.662]],
  "species": ["Al", "Al", "Er", "Hg", "Mg", "Mg", "Mg", "Tm", "Tm"],
  "frac_coords": [[0.500, 0.667, 0.333], [0.500, 0.333, 0.667], [0.000, 0.573, 0.573], [0.000, 0.001, 0.001], [0.500, 0.755, 0.000], [0.500, 0.245, 0.245], [0.500, 0.000, 0.755], [0.000, 0.000, 0.426], [0.000, 0.426, 0.000]],
  "volume_a3_per_atom": 23.26,
  "final_energy_ev_per_atom": -3.23
}



# 4
{
  "formula": "NbCuSiAg",
  "functional": "GGA-PBE",
  "state": "optimized geometry",
  "lattice_angstrom": [[-0.178, 0.175, 4.428], [-3.253, -2.089, 2.172], [0.903, -3.618, 2.400]],
  "species": ["Ag", "Cu", "Nb", "Si"],
  "frac_coords": [[0.500, 0.500, 0.500], [0.750, 0.750, 0.750], [0.250, 0.250, 0.250], [0.000, 0.000, 0.000]],
  "volume_a3_per_atom": 15.42,
  "polymorph_energy_ev_per_atom": 0.000
}



# 5
{
  "formula": "CsLaAgTe3",
  "functional": "GGA-PBE",
  "state": "optimized geometry",
  "lattice_angstrom": [[-3.496, 1.511, -7.898], [1.473, -5.407, 6.743], [-10.194, 3.744, 5.228]],
  "species": ["Ag", "Ag", "Cs", "Cs", "La", "La", "Te", "Te", "Te", "Te", "Te", "Te"],
  "frac_coords": [[0.959, 0.041, 0.250], [0.041, 0.959, 0.750], [0.245, 0.755, 0.250], [0.755, 0.245, 0.750], [0.500, 0.500, 0.000], [0.500, 0.500, 0.500], [0.870, 0.130, 0.053], [0.561, 0.439, 0.250], [0.870, 0.130, 0.447], [0.130, 0.870, 0.553], [0.439, 0.561, 0.750], [0.130, 0.870, 0.947]],
  "volume_a3_per_atom": 38.62,
  "final_energy_ev_per_atom": -3.98
}



# 6
{
  "formula": "Zr2Ni2Pd",
  "functional": "GGA-PBE",
  "state": "optimized geometry",
  "lattice_angstrom": [[6.995, 0.000, 0.000], [0.000, 6.995, 0.000], [0.000, 0.000, 3.311]],
  "species": ["Ni", "Ni", "Ni", "Ni", "Pd", "Pd", "Zr", "Zr", "Zr", "Zr"],
  "frac_coords": [[0.625, 0.125, 0.000], [0.125, 0.375, 0.000], [0.875, 0.625, 0.000], [0.375, 0.875, 0.000], [0.000, 0.000, 0.000], [0.500, 0.500, 0.000], [0.326, 0.174, 0.500], [0.826, 0.326, 0.500], [0.174, 0.674, 0.500], [0.674, 0.826, 0.500]],
  "volume_a3_per_atom": 16.20,
  "delta_e_f_ev_per_atom": -0.57
}



# 7
{
  "formula": "K2Cu4Mo4Se9",
  "functional": "GGA-PBE",
  "state": "optimized geometry",
  "lattice_angstrom": [[-5.225, -4.906, 0.440], [-2.834, -5.574, 3.530], [-5.034, 13.181, 6.746]],
  "species": ["Cu", "Cu", "Cu", "Cu", "K", "K", "Mo", "Mo", "Mo", "Mo", "Se", "Se", "Se", "Se", "Se", "Se", "Se", "Se", "Se"],
  "frac_coords": [[0.426, 0.426, 0.034], [0.761, 0.761, 0.270], [0.239, 0.239, 0.730], [0.574, 0.574, 0.966], [0.041, 0.041, 0.277], [0.959, 0.959, 0.723], [0.228, 0.228, 0.105], [0.347, 0.347, 0.444], [0.653, 0.653, 0.556], [0.772, 0.772, 0.895], [0.848, 0.848, 0.075], [0.610, 0.610, 0.130], [0.361, 0.361, 0.278], [0.713, 0.713, 0.407], [0.000, 0.000, 0.500], [0.287, 0.287, 0.593], [0.639, 0.639, 0.722], [0.390, 0.390, 0.870], [0.152, 0.152, 0.925]],
  "volume_a3_per_atom": 21.27,
  "final_energy_ev_per_atom": -5.07
}



# 8
{
  "formula": "FeCuTcHg",
  "functional": "GGA-PBE",
  "state": "optimized geometry",
  "lattice_angstrom": [[3.486, -2.098, 1.722], [1.500, 1.124, 4.001], [-0.542, -2.750, 3.415]],
  "species": ["Cu", "Fe", "Hg", "Tc"],
  "frac_coords": [[0.750, 0.750, 0.750], [0.000, 0.000, 0.000], [0.250, 0.250, 0.250], [0.500, 0.500, 0.500]],
  "volume_a3_per_atom": 15.25,
  "delta_e_f_ev_per_atom": 0.67,
  "polymorph_energy_ev_per_atom": 0.169
}



# 9
{
  "formula": "BaPaPO",
  "functional": "GGA-PBE",
  "state": "optimized geometry",
  "lattice_angstrom": [[-3.346, -1.709, 2.603], [1.438, -7.222, -2.893], [4.434, -1.109, 4.973]],
  "species": ["Ba", "Ba", "O", "O", "P", "P", "Pa", "Pa"],
  "frac_coords": [[0.000, 0.195, 0.459], [0.000, 0.805, 0.959], [0.500, 0.361, 0.339], [0.500, 0.639, 0.839], [0.000, 0.797, 0.448], [0.000, 0.203, 0.948], [0.500, 0.389, 0.008], [0.500, 0.611, 0.508]],
  "volume_a3_per_atom": 30.53,
  "polymorph_energy_ev_per_atom": 0.000
}



# 10
{
  "formula": "YAlHg2",
  "functional": "GGA-PBE",
  "state": "optimized geometry",
  "lattice_angstrom": [[0.000, 3.575, 3.575], [3.575, 0.000, 3.575], [3.575, 3.575, 0.000]],
  "species": ["Al", "Hg", "Hg", "Y"],
  "frac_coords": [[0.500, 0.500, 0.500], [0.000, 0.000, 0.000], [0.750, 0.750, 0.750], [0.250, 0.250, 0.250]],
  "volume_a3_per_atom": 22.85,
  "final_energy_ev_per_atom": -2.87
}



# 11
{
  "formula": "GdCuGeSe3",
  "functional": "GGA-PBE",
  "state": "optimized geometry",
  "lattice_angstrom": [[-2.093, 2.886, -1.629], [1.690, 0.123, -6.669], [-7.813, -6.854, -2.106]],
  "species": ["Cu", "Cu", "Gd", "Gd", "Ge", "Ge", "Se", "Se", "Se", "Se", "Se", "Se"],
  "frac_coords": [[0.527, 0.947, 0.250], [0.473, 0.053, 0.750], [0.000, 0.000, 0.000], [0.000, 0.000, 0.500], [0.225, 0.549, 0.250], [0.775, 0.451, 0.750], [0.649, 0.702, 0.076], [0.909, 0.183, 0.250], [0.649, 0.702, 0.424], [0.351, 0.298, 0.576], [0.091, 0.817, 0.750], [0.351, 0.298, 0.924]],
  "volume_a3_per_atom": 22.85,
  "polymorph_energy_ev_per_atom": 0.000
}



# 12
{
  "formula": "AlGeW",
  "functional": "GGA-PBE",
  "state": "optimized geometry",
  "lattice_angstrom": [[-5.762, 3.152, -0.275], [-0.893, -1.859, -2.602], [-3.367, -5.699, 5.227]],
  "species": ["Al", "Al", "Al", "Al", "Ge", "Ge", "Ge", "Ge", "W", "W", "W", "W"],
  "frac_coords": [[0.379, 0.250, 0.082], [0.879, 0.250, 0.418], [0.121, 0.750, 0.582], [0.621, 0.750, 0.918], [0.865, 0.250, 0.089], [0.365, 0.250, 0.411], [0.635, 0.750, 0.589], [0.135, 0.750, 0.911], [0.123, 0.750, 0.244], [0.623, 0.750, 0.256], [0.377, 0.250, 0.744], [0.877, 0.250, 0.756]],
  "volume_a3_per_atom": 15.34,
  "polymorph_energy_ev_per_atom": 0.061
}



# 13
{
  "formula": "CsGdCoSe3",
  "functional": "GGA-PBE",
  "state": "optimized geometry",
  "lattice_angstrom": [[9.832, 0.000, 0.000], [0.000, 4.079, 0.000], [-3.821, 0.000, 9.314]],
  "species": ["Co", "Co", "Cs", "Cs", "Gd", "Gd", "Se", "Se", "Se", "Se", "Se", "Se"],
  "frac_coords": [[0.925, 0.750, 0.409], [0.075, 0.250, 0.591], [0.216, 0.250, 0.243], [0.784, 0.750, 0.757], [0.672, 0.250, 0.141], [0.328, 0.750, 0.859], [0.885, 0.750, 0.156], [0.476, 0.750, 0.165], [0.823, 0.250, 0.460], [0.177, 0.750, 0.540], [0.524, 0.250, 0.835], [0.115, 0.250, 0.844]],
  "volume_a3_per_atom": 31.13,
  "polymorph_energy_ev_per_atom": 0.000
}



# 14
{
  "formula": "LiPrSi2",
  "functional": "GGA-PBE",
  "state": "optimized geometry",
  "lattice_angstrom": [[6.850, 0.000, 0.000], [0.000, 4.222, 0.000], [0.000, 0.000, 10.976]],
  "species": ["Li", "Li", "Li", "Li", "Pr", "Pr", "Pr", "Pr", "Si", "Si", "Si", "Si", "Si", "Si", "Si", "Si"],
  "frac_coords": [[0.367, 0.750, 0.058], [0.867, 0.750, 0.442], [0.133, 0.250, 0.558], [0.633, 0.250, 0.942], [0.857, 0.750, 0.151], [0.357, 0.750, 0.349], [0.643, 0.250, 0.651], [0.143, 0.250, 0.849], [0.186, 0.250, 0.142], [0.531, 0.250, 0.164], [0.031, 0.250, 0.336], [0.686, 0.250, 0.358], [0.314, 0.750, 0.642], [0.969, 0.750, 0.664], [0.469, 0.750, 0.836], [0.814, 0.750, 0.858]],
  "volume_a3_per_atom": 19.84,
  "final_energy_ev_per_atom": -4.99
}



# 15
{
  "formula": "TaAl4",
  "functional": "GGA-PBE",
  "state": "optimized geometry",
  "lattice_angstrom": [[9.814, 0.000, 0.000], [0.000, 9.814, 0.000], [0.000, 0.000, 5.146]],
  "species": ["Al", "Al", "Al", "Al", "Al", "Al", "Al", "Al", "Al", "Al", "Al", "Al", "Al", "Al", "Al", "Al", "Al", "Al", "Al", "Al", "Al", "Al", "Al", "Al", "Ta", "Ta", "Ta", "Ta", "Ta", "Ta"],
  "frac_coords": [[0.734, 0.074, 0.000], [0.462, 0.125, 0.000], [0.926, 0.266, 0.000], [0.125, 0.462, 0.000], [0.875, 0.538, 0.000], [0.074, 0.734, 0.000], [0.538, 0.875, 0.000], [0.266, 0.926, 0.000], [0.675, 0.325, 0.248], [0.325, 0.675, 0.248], [0.175, 0.175, 0.252], [0.825, 0.825, 0.252], [0.625, 0.038, 0.500], [0.426, 0.234, 0.500], [0.962, 0.375, 0.500], [0.234, 0.426, 0.500], [0.766, 0.574, 0.500], [0.038, 0.625, 0.500], [0.574, 0.766, 0.500], [0.375, 0.962, 0.500], [0.175, 0.175, 0.748], [0.825, 0.825, 0.748], [0.675, 0.325, 0.752], [0.325, 0.675, 0.752], [0.000, 0.000, 0.000], [0.385, 0.385, 0.000], [0.615, 0.615, 0.000], [0.885, 0.115, 0.500], [0.500, 0.500, 0.500], [0.115, 0.885, 0.500]],
  "volume_a3_per_atom": 16.52,
  "final_energy_ev_per_atom": -5.45
}



# 16
{
  "formula": "PaAsNO",
  "functional": "GGA-PBE",
  "state": "optimized geometry",
  "lattice_angstrom": [[4.240, 0.000, 0.000], [0.000, 5.095, 0.000], [0.000, 0.000, 6.666]],
  "species": ["As", "As", "N", "N", "O", "O", "Pa", "Pa"],
  "frac_coords": [[0.000, 0.713, 0.493], [0.000, 0.213, 0.507], [0.000, 0.788, 0.211], [0.000, 0.288, 0.789], [0.500, 0.335, 0.109], [0.500, 0.835, 0.891], [0.500, 0.919, 0.206], [0.500, 0.419, 0.794]],
  "volume_a3_per_atom": 18.00,
  "polymorph_energy_ev_per_atom": 0.000
}



# 17
{
  "formula": "HfNpNb",
  "functional": "GGA-PBE",
  "state": "optimized geometry",
  "lattice_angstrom": [[0.000, 3.254, 3.254], [3.254, 0.000, 3.254], [3.254, 3.254, 0.000]],
  "species": ["Hf", "Nb", "Np"],
  "frac_coords": [[0.500, 0.500, 0.500], [0.250, 0.250, 0.250], [0.000, 0.000, 0.000]],
  "volume_a3_per_atom": 22.96,
  "delta_e_f_ev_per_atom": 0.83,
  "polymorph_energy_ev_per_atom": 0.000
}



# 18
{
  "formula": "Ag2TeO",
  "functional": "GGA-PBE",
  "state": "optimized geometry",
  "lattice_angstrom": [[6.497, 0.000, 0.000], [0.000, 3.616, 0.000], [0.000, 0.000, 13.171]],
  "species": ["Ag", "Ag", "Ag", "Ag", "Ag", "Ag", "Ag", "Ag", "O", "O", "O", "O", "Te", "Te", "Te", "Te"],
  "frac_coords": [[0.272, 0.750, 0.045], [0.044, 0.250, 0.249], [0.544, 0.250, 0.251], [0.772, 0.750, 0.455], [0.228, 0.250, 0.545], [0.456, 0.750, 0.749], [0.956, 0.750, 0.751], [0.728, 0.250, 0.955], [0.296, 0.250, 0.146], [0.796, 0.250, 0.354], [0.204, 0.750, 0.646], [0.704, 0.750, 0.854], [0.785, 0.750, 0.109], [0.285, 0.750, 0.391], [0.715, 0.250, 0.609], [0.215, 0.250, 0.891]],
  "volume_a3_per_atom": 19.34,
  "polymorph_energy_ev_per_atom": 0.007
}



# 19
{
  "formula": "Li2HfScGa2Pd2",
  "functional": "GGA-PBE",
  "state": "optimized geometry",
  "lattice_angstrom": [[4.470, 0.000, 0.000], [0.000, 4.470, 0.000], [0.000, 0.000, 6.306]],
  "species": ["Ga", "Ga", "Hf", "Li", "Li", "Pd", "Pd", "Sc"],
  "frac_coords": [[0.500, 0.500, 0.000], [0.000, 0.000, 0.500], [0.000, 0.000, 0.000], [0.500, 0.000, 0.254], [0.000, 0.500, 0.746], [0.000, 0.500, 0.244], [0.500, 0.000, 0.756], [0.500, 0.500, 0.500]],
  "volume_a3_per_atom": 15.75,
  "final_energy_ev_per_atom": -5.19
}



# 20
{
  "formula": "AcAl5Ir2",
  "functional": "GGA-PBE",
  "state": "optimized geometry",
  "lattice_angstrom": [[-2.078, 3.686, 5.058], [2.078, -3.686, 5.058], [2.078, 3.686, -5.058]],
  "species": ["Ac", "Al", "Al", "Al", "Al", "Al", "Ir", "Ir"],
  "frac_coords": [[0.000, 0.000, 0.000], [0.525, 0.338, 0.188], [0.850, 0.662, 0.188], [0.500, 0.000, 0.500], [0.150, 0.338, 0.812], [0.475, 0.662, 0.812], [0.736, 0.236, 0.500], [0.264, 0.764, 0.500]],
  "volume_a3_per_atom": 19.37,
  "final_energy_ev_per_atom": -5.84
}



# 21
{
  "formula": "YSnAu2",
  "functional": "GGA-PBE",
  "state": "optimized geometry",
  "lattice_angstrom": [[-3.842, 1.569, 2.744], [-1.697, 4.648, -0.523], [-4.419, 0.809, -2.138]],
  "species": ["Au", "Au", "Sn", "Y"],
  "frac_coords": [[0.000, 0.000, 0.000], [0.750, 0.750, 0.750], [0.500, 0.500, 0.500], [0.250, 0.250, 0.250]],
  "volume_a3_per_atom": 21.77,
  "final_energy_ev_per_atom": -4.76
}



# 22
{
  "formula": "Hg2PtS3",
  "functional": "GGA-PBE",
  "state": "optimized geometry",
  "lattice_angstrom": [[-1.824, 7.850, 2.250], [1.824, -7.850, 2.250], [1.824, 7.850, -2.250]],
  "species": ["Hg", "Hg", "Pt", "S", "S", "S"],
  "frac_coords": [[0.346, 0.000, 0.346], [0.654, 0.000, 0.654], [0.000, 0.000, 0.000], [0.500, 0.500, 0.000], [0.152, 0.000, 0.152], [0.848, 0.000, 0.848]],
  "volume_a3_per_atom": 21.47,
  "final_energy_ev_per_atom": -3.02
}